(1)
# LaZrBe2, relaxed, DFT PBE
data_LaZrBe2
_chemical_formula_sum 'La2 Zr2 Be4'
_cell_length_a 7.388
_cell_length_b 4.271
_cell_length_c 5.933
_cell_angle_alpha 90.00
_cell_angle_beta 114.40
_cell_angle_gamma 90.00
_symmetry_space_group_name_H-M 'C 1 2/m 1'
_symmetry_Int_Tables_number 12
loop_
_symmetry_equiv_pos_as_xyz
'x,y,z'
'-x,-y,-z'
'-x,y,-z'
'x,-y,z'
'x+1/2,y+1/2,z'
'-x+1/2,-y+1/2,-z'
'-x+1/2,y+1/2,-z'
'x+1/2,-y+1/2,z'
loop_
_atom_site_label
_atom_site_type_symbol
_atom_site_fract_x
_atom_site_fract_y
_atom_site_fract_z
La1 La 0.000 0.000 0.000
Zr1 Zr 0.000 0.500 0.500
Be1 Be 0.194 0.000 0.584
# * excess energy over the best structure of this formula in the dataset: 157.6 meV per atom
# * spin magnetization: 0.0 μB per formula unit
# * ΔE_f: 233 meV/atom
# * E: -39.99 eV per cell


(2)
# GdScRuAu, relaxed, DFT PBE
data_GdScRuAu
_chemical_formula_sum 'Gd4 Sc4 Ru4 Au4'
_cell_length_a 6.850
_cell_length_b 6.850
_cell_length_c 6.850
_cell_angle_alpha 90.00
_cell_angle_beta 90.00
_cell_angle_gamma 90.00
_symmetry_space_group_name_H-M 'F -4 3 m'
_symmetry_Int_Tables_number 216
_symmetry_space_group_name_Hall 'F -4 2 3'
loop_
_atom_site_label
_atom_site_type_symbol
_atom_site_fract_x
_atom_site_fract_y
_atom_site_fract_z
Gd1 Gd 0.000 0.000 0.000
Sc1 Sc 0.000 0.000 0.500
Ru1 Ru 0.250 0.250 0.250
Au1 Au 0.250 0.250 0.750
# * spin magnetization: 7.0 μB per formula unit
# * ΔE_f: -552 meV/atom
# * E: -140.69 eV per cell


(3)
# NaTaHPb2, relaxed, DFT PBE
data_NaTaHPb2
_chemical_formula_sum 'Na1 Ta1 H1 Pb2'
_cell_length_a 5.064
_cell_length_b 5.064
_cell_length_c 3.772
_cell_angle_alpha 90.00
_cell_angle_beta 90.00
_cell_angle_gamma 90.00
_symmetry_space_group_name_H-M 'P 4/m m m'
_symmetry_Int_Tables_number 123
_symmetry_space_group_name_Hall '-P 4 2'
loop_
_atom_site_label
_atom_site_type_symbol
_atom_site_fract_x
_atom_site_fract_y
_atom_site_fract_z
Na1 Na 0.000 0.000 0.000
Ta1 Ta 0.500 0.500 0.000
H1 H 0.000 0.000 0.500
Pb1 Pb 0.000 0.500 0.500
# * spin magnetization: 0.7 μB per formula unit
# * E: -21.01 eV per cell